[1]
Here is crystalline ZnAgHgF5 at its relaxed geometry from the Alexandria database. Energies are from PBE-GGA.

Values from the calculation:
Raw formation energy in meV/atom: -1602.4

abc: 6.5859 10.1530 7.8705
angles: 90.00 106.94 90.00
With the nearest neighbours (Å) after each atom.
Space group C2/c (No. 15)
One atom of each set of equivalent atoms:
1 Zn 0.0000 0.0000 0.0000 [4 per cell]  6 F 2.04-2.09
2 Ag 0.0000 0.2897 0.2500 [4 per cell]  5 F 2.39-2.46
3 Hg 0.0000 0.3513 0.7500 [4 per cell]  4 F 2.23-2.25
4 F 0.0000 0.0540 0.2500 [4 per cell]  2 Zn 2.04
5 F 0.0206 0.2028 0.9637 [8 per cell]  1 Zn 2.09, 1 Hg 2.23
6 F 0.1767 0.4809 0.4146 [8 per cell]  1 Zn 2.05, 1 Hg 2.25

***

[2]
Here is crystalline ZnAg2HgF6 at its relaxed geometry from the Alexandria database. Energies are from PBE-GGA.

Values from the calculation:
Raw formation energy in meV/atom: -1502.8

abc: 5.8399 6.0108 10.2513
angles: 90.00 124.70 90.00
With the nearest neighbours (Å) after each atom.
Space group P2_1/c (No. 14)
One atom of each set of equivalent atoms:
1 Zn 0.0000 0.0000 0.0000 [2 per cell]  6 F 2.07
2 Ag 0.2717 0.0657 0.7522 [4 per cell]  6 F 2.43-2.71
3 Hg 0.5000 0.0000 0.5000 [2 per cell]  6 F 2.33-2.40
4 F 0.1106 0.0420 0.2297 [4 per cell]  1 Zn 2.07
5 F 0.2391 0.7152 0.0632 [4 per cell]  1 Zn 2.07
6 F 0.3464 0.1859 0.0613 [4 per cell]  1 Zn 2.07